[1]
Here is crystalline BeOsCl2 at its relaxed geometry from Alexandria via LeMat-Bulk. Energies are from PBE.

Lattice parameters (Å, degrees): 11.449 11.449 11.449 14.79 14.79 14.79
Fractional positions:
Os 0.250 0.250 0.250
Cl 0.455 0.455 0.455
Cl 0.045 0.045 0.045
Be 0.750 0.750 0.750

Summary:
Symmetry: R-3m (166)
Energy: -0.16225 Ha/atom
Energy above the lowest structure with this stoichiometry: 305 meV/atom



[2]
Here is crystalline Be2OsCl at its relaxed geometry from Alexandria via LeMat-Bulk. Energies are from PBE.

Lattice parameters (Å, degrees): 4.099 4.099 4.099 60.00 60.00 60.00
Fractional positions:
Os 0.750 0.750 0.750
Be 0.000 0.000 0.000
Cl 0.500 0.500 0.500
Be 0.250 0.250 0.250

Summary:
Symmetry: F-43m (216)
Energy: -0.15234 Ha/atom
Energy above the lowest structure with this stoichiometry: 966 meV/atom



[3]
Here is crystalline BeOs2Cl at its relaxed geometry from Alexandria via LeMat-Bulk. Energies are from PBE.

Lattice parameters (Å, degrees): 5.843 5.843 5.843 152.69 141.77 47.61
Fractional positions:
Os 0.553 0.553 0.000
Cl 0.250 0.750 0.500
Be 0.750 0.250 0.500
Os 0.947 0.947 0.000

Summary:
Symmetry: Immm (71)
Energy: -0.23907 Ha/atom
Energy above the lowest structure with this stoichiometry: 271 meV/atom



[4]
Here is crystalline Be2OsCl at its relaxed geometry from Alexandria via LeMat-Bulk. Energies are from PBE.

Lattice parameters (Å, degrees): 4.116 4.116 4.116 60.00 60.00 60.00
Fractional positions:
Cl 0.000 0.000 0.000
Be 0.750 0.750 0.750
Os 0.500 0.500 0.500
Be 0.250 0.250 0.250

Summary:
Symmetry: Fm-3m (225)
Energy: -0.15018 Ha/atom
Energy above the lowest structure with this stoichiometry: 1025 meV/atom



[5]
Here is crystalline BeOsCl2 at its relaxed geometry from Alexandria via LeMat-Bulk. Energies are from PBE.

Lattice parameters (Å, degrees): 6.294 6.294 6.294 148.88 148.88 44.59
Fractional positions:
Cl 0.250 0.750 0.500
Os 0.500 0.500 0.000
Cl 0.000 0.000 0.000
Be 0.750 0.250 0.500

Summary:
Symmetry: I-4m2 (119)
Energy: -0.12975 Ha/atom
Energy above the lowest structure with this stoichiometry: 1189 meV/atom



[6]
Here is crystalline BeOs2Cl at its relaxed geometry from Alexandria via LeMat-Bulk. Energies are from PBE.

Lattice parameters (Å, degrees): 4.583 4.992 2.879 74.30 87.78 116.61
Fractional positions:
Cl 0.500 0.500 0.000
Be 0.000 0.500 0.500
Os 0.500 0.000 0.500
Os 0.000 0.000 0.000

Summary:
Symmetry: C2/m (12)
Energy: -0.22319 Ha/atom
Energy above the lowest structure with this stoichiometry: 703 meV/atom



[7]
Here is crystalline BeOsCl2 at its relaxed geometry from Alexandria via LeMat-Bulk. Energies are from PBE.

Lattice parameters (Å, degrees): 7.400 7.400 7.400 23.65 23.65 23.65
Fractional positions:
Be 0.500 0.500 0.500
Cl 0.893 0.893 0.893
Os 0.000 0.000 0.000
Cl 0.107 0.107 0.107

Summary:
Symmetry: R-3m (166)
Energy: -0.16186 Ha/atom
Energy above the lowest structure with this stoichiometry: 316 meV/atom



[8]
Here is crystalline Be2OsCl at its relaxed geometry from Alexandria via LeMat-Bulk. Energies are from PBE.

Lattice parameters (Å, degrees): 4.642 4.642 4.642 142.97 126.56 66.79
Fractional positions:
Be 0.000 0.000 0.000
Cl 0.750 0.250 0.500
Os 0.250 0.750 0.500
Be 0.500 0.500 0.000

Summary:
Symmetry: Immm (71)
Energy: -0.16273 Ha/atom
Energy above the lowest structure with this stoichiometry: 684 meV/atom



Which raw formation energy belongs to each record? In order, 0.2474 0.9869 0.5026 1.0455 1.1317 0.9347 0.2579 0.7040 eV/atom.
Which DOS at the Fermi energy belongs to each record? In order, 2.5 3.4 1.4 2.3 3.0 3.3 1.8 1.5 states/eV/f.u..